Entry 1:
Computed, not measured: a relaxed LiNi2BPb crystal at the PBE level of DFT.

Unit cell a=3.9408 b=3.9408 c=4.2840 alpha=90.00 beta=90.00 gamma=90.00
With the nearest neighbours (Å) after each atom.
Element x y z (fractional)
Li  0.0000  0.0000  0.0000  2 B 2.14
Ni  0.0000  0.5000  0.5000  2 B 1.97
Ni  0.5000  0.0000  0.5000  2 B 1.97
B  0.0000  0.0000  0.5000  4 Ni 1.97, 2 Li 2.14
Pb  0.5000  0.5000  0.0000  4 Li 2.79, 8 Ni 2.91

Computed properties:
formation energy from the elements: 0.70 kJ/mol of atoms
energy: -0.1751 Ha/atom
Fermi-level density of states: 0.380 states/eV/atom



Entry 2:
Computed, not measured: a relaxed Li2NiBPd crystal at the PBE level of DFT.

Unit cell a=4.4195 b=4.4195 c=4.6941 alpha=90.00 beta=90.00 gamma=90.00
With the nearest neighbours (Å) after each atom.
Element x y z (fractional)
Li  0.0000  0.5000  0.0000  2 Pd 2.21
Li  0.5000  0.0000  0.0000  2 Pd 2.21
Ni  0.0000  0.0000  0.5000  2 Pd 2.35
B  0.5000  0.5000  0.5000  4 Ni 3.13, 8 Li 3.22
Pd  0.0000  0.0000  0.0000  4 Li 2.21, 2 Ni 2.35

Computed properties:
formation energy from the elements: 116.77 kJ/mol of atoms
energy: -0.1134 Ha/atom
Fermi-level density of states: 0.933 states/eV/atom



Entry 3:
Computed, not measured: a relaxed LiNiBPd crystal at the PBE level of DFT.

Unit cell a=5.4291 b=5.4291 c=5.4291 alpha=90.00 beta=90.00 gamma=90.00
With the nearest neighbours (Å) after each atom.
Element x y z (fractional)
Li  0.0000  0.0000  0.0000  4 Ni 2.35, 4 Pd 2.35
Li  0.0000  0.5000  0.5000  4 Ni 2.35, 4 Pd 2.35
Li  0.5000  0.0000  0.5000  4 Ni 2.35, 4 Pd 2.35
Li  0.5000  0.5000  0.0000  4 Ni 2.35, 4 Pd 2.35
Ni  0.2500  0.2500  0.2500  4 B 2.35, 4 Li 2.35
Ni  0.2500  0.7500  0.7500  4 Li 2.35, 4 B 2.35
Ni  0.7500  0.2500  0.7500  4 Li 2.35, 4 B 2.35
Ni  0.7500  0.7500  0.2500  4 Li 2.35, 4 B 2.35
B  0.0000  0.0000  0.5000  4 Ni 2.35, 4 Pd 2.35
B  0.0000  0.5000  0.0000  4 Ni 2.35, 4 Pd 2.35
B  0.5000  0.0000  0.0000  4 Ni 2.35, 4 Pd 2.35
B  0.5000  0.5000  0.5000  4 Ni 2.35, 4 Pd 2.35
Pd  0.2500  0.2500  0.7500  4 Li 2.35, 4 B 2.35
Pd  0.2500  0.7500  0.2500  4 Li 2.35, 4 B 2.35
Pd  0.7500  0.2500  0.2500  4 Li 2.35, 4 B 2.35
Pd  0.7500  0.7500  0.7500  4 Li 2.35, 4 B 2.35

Computed properties:
formation energy from the elements: -7.43 kJ/mol of atoms
energy: -0.1826 Ha/atom
Fermi-level density of states: 0.714 states/eV/atom



Entry 4:
Computed, not measured: a relaxed LiNiBPt2 crystal at the PBE level of DFT.

Unit cell a=4.1341 b=4.1341 c=3.8831 alpha=90.00 beta=90.00 gamma=90.00
With the nearest neighbours (Å) after each atom.
Element x y z (fractional)
Li  0.0000  0.0000  0.0000  8 Pt 2.84, 4 Ni 2.92
Ni  0.5000  0.5000  0.0000  2 B 1.94
B  0.5000  0.5000  0.5000  2 Ni 1.94, 4 Pt 2.07
Pt  0.0000  0.5000  0.5000  2 B 2.07
Pt  0.5000  0.0000  0.5000  2 B 2.07

Computed properties:
formation energy from the elements: -34.89 kJ/mol of atoms
energy: -0.2077 Ha/atom
Fermi-level density of states: 0.176 states/eV/atom



Entry 5:
Computed, not measured: a relaxed Li2NiB2Pt5 crystal at the PBE level of DFT.

Unit cell a=9.4159 b=9.4159 c=2.9584 alpha=90.00 beta=90.00 gamma=90.00
With the nearest neighbours (Å) after each atom.
Element x y z (fractional)
Li  0.1763  0.3237  0.0000  1 B 2.57, 6 Pt 2.78-2.82
Li  0.3237  0.8237  0.0000  1 B 2.57, 6 Pt 2.78-2.82
Li  0.6763  0.1763  0.0000  1 B 2.57, 6 Pt 2.78-2.82
Li  0.8237  0.6763  0.0000  1 B 2.57, 6 Pt 2.78-2.82
Ni  0.0000  0.0000  0.0000  8 Pt 2.59
Ni  0.5000  0.5000  0.0000  8 Pt 2.59
B  0.1305  0.6305  0.0000  6 Pt 2.16-2.28
B  0.3695  0.1305  0.0000  6 Pt 2.16-2.28
B  0.6305  0.8695  0.0000  6 Pt 2.16-2.28
B  0.8695  0.3695  0.0000  6 Pt 2.16-2.28
Pt  0.0000  0.5000  0.5000  4 B 2.28
Pt  0.0709  0.7859  0.5000  2 B 2.16
Pt  0.2141  0.0709  0.5000  2 B 2.16
Pt  0.2859  0.5709  0.5000  2 B 2.16
Pt  0.4291  0.2859  0.5000  2 B 2.16
Pt  0.5000  0.0000  0.5000  4 B 2.28
Pt  0.5709  0.7141  0.5000  2 B 2.16
Pt  0.7141  0.4291  0.5000  2 B 2.16
Pt  0.7859  0.9291  0.5000  2 B 2.16
Pt  0.9291  0.2141  0.5000  2 B 2.16

Computed properties:
formation energy from the elements: -42.81 kJ/mol of atoms
energy: -0.2117 Ha/atom
Fermi-level density of states: 0.592 states/eV/atom



Entry 6:
Computed, not measured: a relaxed Li2Ni5B2Pt crystal at the PBE level of DFT.

Unit cell a=9.0050 b=9.0050 c=2.7460 alpha=90.00 beta=90.00 gamma=90.00
With the nearest neighbours (Å) after each atom.
Element x y z (fractional)
Li  0.1810  0.3190  0.0000  3 B 2.51-2.78, 10 Ni 2.68-2.73, 2 Li 2.75
Li  0.3190  0.8190  0.0000  3 B 2.51-2.78, 10 Ni 2.68-2.73, 2 Li 2.75
Li  0.6810  0.1810  0.0000  3 B 2.51-2.78, 10 Ni 2.68-2.73, 2 Li 2.75
Li  0.8190  0.6810  0.0000  3 B 2.51-2.78, 10 Ni 2.68-2.73, 2 Li 2.75
Ni  0.0000  0.5000  0.5000  4 B 2.07
Ni  0.0654  0.7684  0.5000  2 B 1.97
Ni  0.2316  0.0654  0.5000  2 B 1.97
Ni  0.2684  0.5654  0.5000  2 B 1.97
Ni  0.4346  0.2684  0.5000  2 B 1.97
Ni  0.5000  0.0000  0.5000  4 B 2.07
Ni  0.5654  0.7316  0.5000  2 B 1.97
Ni  0.7316  0.4346  0.5000  2 B 1.97
Ni  0.7684  0.9346  0.5000  2 B 1.97
Ni  0.9346  0.2316  0.5000  2 B 1.97
B  0.1218  0.6218  0.0000  6 Ni 1.97-2.07
B  0.3782  0.1218  0.0000  6 Ni 1.97-2.07
B  0.6218  0.8782  0.0000  6 Ni 1.97-2.07
B  0.8782  0.3782  0.0000  6 Ni 1.97-2.07
Pt  0.0000  0.0000  0.0000  8 Ni 2.57, 2 Pt 2.75
Pt  0.5000  0.5000  0.0000  8 Ni 2.57, 2 Pt 2.75

Computed properties:
formation energy from the elements: -25.56 kJ/mol of atoms
energy: -0.2013 Ha/atom
Fermi-level density of states: 0.436 states/eV/atom



Entry 7:
Computed, not measured: a relaxed LiNi2BPt crystal at the PBE level of DFT.

Unit cell a=3.8539 b=3.8539 c=4.0902 alpha=90.00 beta=90.00 gamma=90.00
With the nearest neighbours (Å) after each atom.
Element x y z (fractional)
Li  0.0000  0.0000  0.0000  4 Pt 2.73, 8 Ni 2.81
Ni  0.0000  0.5000  0.5000  2 B 1.93
Ni  0.5000  0.0000  0.5000  2 B 1.93
B  0.5000  0.5000  0.5000  4 Ni 1.93, 2 Pt 2.05
Pt  0.5000  0.5000  0.0000  2 B 2.05

Computed properties:
formation energy from the elements: -26.48 kJ/mol of atoms
energy: -0.2026 Ha/atom
Fermi-level density of states: 0.190 states/eV/atom



Entry 8:
Computed, not measured: a relaxed LiNi2BRh crystal at the PBE level of DFT.

Unit cell a=3.8394 b=3.8394 c=4.0471 alpha=90.00 beta=90.00 gamma=90.00
With the nearest neighbours (Å) after each atom.
Element x y z (fractional)
Li  0.0000  0.0000  0.0000  4 Rh 2.71, 8 Ni 2.79
Ni  0.0000  0.5000  0.5000  2 B 1.92
Ni  0.5000  0.0000  0.5000  2 B 1.92
B  0.5000  0.5000  0.5000  4 Ni 1.92, 2 Rh 2.02
Rh  0.5000  0.5000  0.0000  2 B 2.02

Computed properties:
formation energy from the elements: -14.40 kJ/mol of atoms
energy: -0.2076 Ha/atom
Fermi-level density of states: 1.067 states/eV/atom



Entry 9:
Computed, not measured: a relaxed Li2NiB2Rh5 crystal at the PBE level of DFT.

Unit cell a=9.3000 b=9.3000 c=2.8549 alpha=90.00 beta=90.00 gamma=90.00
With the nearest neighbours (Å) after each atom.
Element x y z (fractional)
Li  0.1745  0.3255  0.0000  3 B 2.61-2.84, 10 Rh 2.70-2.90, 2 Li 2.85
Li  0.3255  0.8255  0.0000  3 B 2.61-2.84, 10 Rh 2.70-2.90, 2 Li 2.85
Li  0.6745  0.1745  0.0000  3 B 2.61-2.84, 10 Rh 2.70-2.90, 2 Li 2.85
Li  0.8255  0.6745  0.0000  3 B 2.61-2.84, 10 Rh 2.70-2.90, 2 Li 2.85
Ni  0.0000  0.0000  0.0000  8 Rh 2.54
Ni  0.5000  0.5000  0.0000  8 Rh 2.54
B  0.1270  0.6270  0.0000  6 Rh 2.12-2.20
B  0.3730  0.1270  0.0000  6 Rh 2.12-2.20
B  0.6270  0.8730  0.0000  6 Rh 2.12-2.20
B  0.8730  0.3730  0.0000  6 Rh 2.12-2.20
Rh  0.0000  0.5000  0.5000  4 B 2.20
Rh  0.0729  0.7865  0.5000  2 B 2.12
Rh  0.2135  0.0729  0.5000  2 B 2.12
Rh  0.2865  0.5729  0.5000  2 B 2.12
Rh  0.4271  0.2865  0.5000  2 B 2.12
Rh  0.5000  0.0000  0.5000  4 B 2.20
Rh  0.5729  0.7135  0.5000  2 B 2.12
Rh  0.7135  0.4271  0.5000  2 B 2.12
Rh  0.7865  0.9271  0.5000  2 B 2.12
Rh  0.9271  0.2135  0.5000  2 B 2.12

Computed properties:
formation energy from the elements: -28.50 kJ/mol of atoms
energy: -0.2303 Ha/atom
Fermi-level density of states: 0.947 states/eV/atom



Entry 10:
Computed, not measured: a relaxed LiNiBRh crystal at the PBE level of DFT.

Unit cell a=5.3649 b=5.3649 c=5.3649 alpha=90.00 beta=90.00 gamma=90.00
With the nearest neighbours (Å) after each atom.
Element x y z (fractional)
Li  0.0000  0.0000  0.0000  4 Rh 2.32, 4 Ni 2.32
Li  0.0000  0.5000  0.5000  4 Ni 2.32, 4 Rh 2.32
Li  0.5000  0.0000  0.5000  4 Ni 2.32, 4 Rh 2.32
Li  0.5000  0.5000  0.0000  4 Ni 2.32, 4 Rh 2.32
Ni  0.2500  0.2500  0.2500  4 Li 2.32, 4 B 2.32
Ni  0.2500  0.7500  0.7500  4 Li 2.32, 4 B 2.32
Ni  0.7500  0.2500  0.7500  4 Li 2.32, 4 B 2.32
Ni  0.7500  0.7500  0.2500  4 Li 2.32, 4 B 2.32
B  0.0000  0.0000  0.5000  4 Ni 2.32, 4 Rh 2.32
B  0.0000  0.5000  0.0000  4 Ni 2.32, 4 Rh 2.32
B  0.5000  0.0000  0.0000  4 Ni 2.32, 4 Rh 2.32
B  0.5000  0.5000  0.5000  4 Ni 2.32, 4 Rh 2.32
Rh  0.2500  0.2500  0.7500  4 Li 2.32, 4 B 2.32
Rh  0.2500  0.7500  0.2500  4 Li 2.32, 4 B 2.32
Rh  0.7500  0.2500  0.2500  4 Li 2.32, 4 B 2.32
Rh  0.7500  0.7500  0.7500  4 Li 2.32, 4 B 2.32

Computed properties:
formation energy from the elements: -18.22 kJ/mol of atoms
energy: -0.2065 Ha/atom
Fermi-level density of states: 0.312 states/eV/atom



no.,V (Å³/cell)
1,66.5
2,91.7
3,160.0
4,66.4
5,262.3
6,222.7
7,60.7
8,59.7
9,246.9
10,154.4